This record from the Open Quantum Materials Database describes RbCuTe2IrS after structural relaxation. The functional is PBE.

Cell: 8.2429 8.2429 9.9385 Å, 90.00 90.00 152.00°
Closest atoms and distances in Å follow each position.
Fractional coordinates of all 12 atoms:
Cu 0.4794 0.5206 0.2500  2 S 2.32, 2 Te 2.56
Cu 0.5206 0.4794 0.7500  2 S 2.32, 2 Te 2.56
Ir 0.0000 0.0000 0.0000  2 S 2.63, 4 Te 2.69
Ir 0.0000 0.0000 0.5000  2 S 2.63, 4 Te 2.69
Rb 0.7440 0.2560 0.2500  6 Te 3.56-3.73, 2 S 3.64
Rb 0.2560 0.7440 0.7500  6 Te 3.56-3.73, 2 S 3.64
S 0.0540 0.9460 0.2500  2 Cu 2.32
S 0.9460 0.0540 0.7500  2 Cu 2.32
Te 0.3896 0.6104 0.0366  1 Cu 2.56, 2 Ir 2.69
Te 0.3896 0.6104 0.4634  1 Cu 2.56, 2 Ir 2.69
Te 0.6104 0.3896 0.5366  1 Cu 2.56, 2 Ir 2.69
Te 0.6104 0.3896 0.9634  1 Cu 2.56, 2 Ir 2.69

Symmetry: No. 63
Uncorrected energy, eV per cell: -51.28